[1]
TbLuGaHg (PBE-GGA, relaxed); space group = F-43m, No. 216; energy relative to the elements = -47.95 kJ/mol of atoms; magnetic moment = 0.00 μB per formula unit
1.0
7.2692 0.0000 0.0000
0.0000 7.2692 0.0000
0.0000 0.0000 7.2692
Tb Lu Ga Hg
4 4 4 4
direct
0.0000 0.0000 0.0000
0.0000 0.5000 0.5000
0.5000 0.0000 0.5000
0.5000 0.5000 0.0000
0.0000 0.0000 0.5000
0.0000 0.5000 0.0000
0.5000 0.0000 0.0000
0.5000 0.5000 0.5000
0.2500 0.2500 0.7500
0.2500 0.7500 0.2500
0.7500 0.2500 0.2500
0.7500 0.7500 0.7500
0.2500 0.2500 0.2500
0.2500 0.7500 0.7500
0.7500 0.2500 0.7500
0.7500 0.7500 0.2500

---

[2]
RbSr2CoCl8 (PBE-GGA, relaxed); space group = P-1, No. 2; magnetic moment = 0.15 μB per formula unit; uncorrected formation energy = -1640 meV per atom
1.0
6.2789 0.0000 0.0000
0.0295 6.3630 0.0000
0.0425 0.0891 8.9403
Rb Sr Co Cl
1 2 1 8
direct
0.0000 0.0000 0.0000
0.4976 0.4958 0.2613
0.5024 0.5042 0.7387
0.0000 0.0000 0.5000
0.1379 0.7860 0.6818
0.1480 0.7945 0.3196
0.3000 0.2127 0.5038
0.4106 0.2585 0.9999
0.5894 0.7415 0.0001
0.7000 0.7873 0.4962
0.8520 0.2055 0.6804
0.8621 0.2140 0.3182

---

Number 1: raw total energy -3.62 eV per atom. Number 2: raw total energy -3.82 eV per atom.